1.
CaPuZnAu (GGA-PBE, relaxed); space group = F-43m; ΔE_f = -0.315 eV/atom; raw total energy = -5.54 eV per atom; density of states at the Fermi level = 2.764 states/eV/atom
1.0
5.140 0.000 0.000
2.570 4.451 0.000
2.570 1.484 4.197
Zn Au Ca Pu
1 1 1 1
direct
0.250 0.250 0.250
0.750 0.750 0.750
0.000 0.000 0.000
0.500 0.500 0.500

***

2.
RbCa3Au (GGA-PBE, relaxed); space group = Pm-3m; ΔE_f = 1.161 eV/atom; relative energy among the computed polymorphs = 7.116 eV per formula unit; raw total energy = -0.89 eV per atom; density of states at the Fermi level = 1.390 states/eV/atom
1.0
-1.291 -0.093 5.834
-2.289 -5.488 -0.593
5.367 -2.363 1.150
Ca Au Rb
3 1 1
direct
0.000 0.500 0.000
0.000 0.000 0.500
0.500 0.000 0.000
0.500 0.500 0.500
0.000 0.000 0.000

***

3.
RbCaAu17 (GGA-PBE, relaxed); space group = R3m; ΔE_f = -0.155 eV/atom; raw total energy = -3.24 eV per atom; density of states at the Fermi level = 0.281 states/eV/atom
1.0
7.307 -0.011 0.849
0.755 7.268 0.849
-0.013 -0.011 7.357
Rb Ca Au
1 1 17
direct
0.659 0.659 0.659
0.340 0.340 0.340
0.306 0.004 0.686
0.686 0.306 0.004
0.004 0.686 0.306
0.306 0.686 0.004
0.004 0.306 0.686
0.686 0.004 0.306
0.341 0.845 0.341
0.341 0.341 0.845
0.845 0.341 0.341
0.651 0.161 0.651
0.651 0.651 0.161
0.161 0.651 0.651
0.995 0.502 0.995
0.995 0.995 0.502
0.502 0.995 0.995
0.911 0.911 0.911
0.114 0.114 0.114

***

4.
Rb2CaAu (GGA-PBE, relaxed); space group = I-42d; ΔE_f = -0.058 eV/atom; relative energy among the computed polymorphs = 0.000 eV per formula unit; raw total energy = -1.86 eV per atom; density of states at the Fermi level = 0.977 states/eV/atom
1.0
12.302 0.000 0.000
0.000 12.302 0.000
6.151 6.151 2.969
Ca Au Rb
2 2 4
direct
0.500 0.500 0.000
0.250 0.750 0.500
0.000 0.000 0.000
0.750 0.250 0.500
0.756 0.125 0.250
0.994 0.625 0.250
0.375 0.244 0.750
0.875 0.006 0.750